Record 1
Here is an optimized crystal structure of SrThAg2Br8 from Alexandria via LeMat-Bulk. Energies are from PBE.

a b c (Å): 7.1053 7.4453 9.1234
angles (deg): 73.57 89.58 78.08
Fractional coordinates of all 12 atoms:
Sr1 0.0000 0.0000 0.0000
Th1 0.0000 0.0000 0.5000
Ag1 0.4877 0.3434 0.1839
Ag2 0.5123 0.6566 0.8161
Br1 0.1060 0.2397 0.2137
Br2 0.1224 0.2138 0.6818
Br3 0.3714 0.7583 0.5300
Br4 0.3984 0.7416 0.0710
Br5 0.6016 0.2584 0.9290
Br6 0.6286 0.2417 0.4700
Br7 0.8776 0.7862 0.3182
Br8 0.8940 0.7603 0.7863

Output
Calculated volume: 37.7 Å³/atom
Space group: P-1 (2)
Raw formation energy: -1.342 eV per atom

=====

Record 2
Here is an optimized crystal structure of NdSm2Y3Tm6 from Alexandria via LeMat-Bulk. Energies are from PBE.

a b c (Å): 6.1518 6.1518 11.7174
angles (deg): 95.01 95.01 119.95
Fractional coordinates of all 12 atoms:
Nd1 0.0000 0.0000 0.0000
Sm1 0.3334 0.6666 0.0000
Sm2 0.6666 0.3334 0.0000
Y1 0.1667 0.8333 0.5000
Y2 0.5000 0.5000 0.5000
Y3 0.8333 0.1667 0.5000
Tm1 0.0847 0.4183 0.2515
Tm2 0.2489 0.2489 0.7485
Tm3 0.4183 0.0847 0.2515
Tm4 0.5817 0.9153 0.7485
Tm5 0.7511 0.7511 0.2515
Tm6 0.9153 0.5817 0.7485

Output
Calculated volume: 31.5 Å³/atom
Space group: C2/m (12)
E_form: 0.30 eV/f.u.

=====

Record 3
Here is an optimized crystal structure of Ag2BIO from Alexandria via LeMat-Bulk. Energies are from PBE.

a b c (Å): 5.4540 5.4540 4.0221
angles (deg): 90.00 90.00 90.00
Fractional coordinates of all 5 atoms:
Ag1 0.0000 0.5000 0.0000
Ag2 0.5000 0.0000 0.0000
B1 0.0000 0.0000 0.5000
I1 0.5000 0.5000 0.0000
O1 0.5000 0.5000 0.5000

Output
Calculated volume: 23.9 Å³/atom
Space group: P4/mmm (123)
Raw formation energy: 1.402 eV per atom

=====

Record 4
Here is an optimized crystal structure of RePtO2F from Alexandria via LeMat-Bulk. Energies are from PBE.

a b c (Å): 3.8055 3.8055 4.4890
angles (deg): 90.00 90.00 90.00
Fractional coordinates of all 5 atoms:
Re1 0.0000 0.0000 0.0000
Pt1 0.5000 0.5000 0.5000
O1 0.0000 0.5000 0.0000
O2 0.5000 0.0000 0.0000
F1 0.0000 0.0000 0.5000

Output
Calculated volume: 13.0 Å³/atom
Space group: P4/mmm (123)
Raw formation energy: -0.339 eV per atom

=====

Record 5
Here is an optimized crystal structure of NaZn3Au from Alexandria via LeMat-Bulk. Energies are from PBE.

a b c (Å): 6.4004 6.4004 5.7125
angles (deg): 90.00 90.00 120.00
Fractional coordinates of all 10 atoms:
Na1 0.3333 0.6667 0.2500
Na2 0.6667 0.3333 0.7500
Zn1 0.1997 0.3995 0.7500
Zn2 0.1997 0.8003 0.7500
Zn3 0.3995 0.1997 0.2500
Zn4 0.6005 0.8003 0.7500
Zn5 0.8003 0.1997 0.2500
Zn6 0.8003 0.6005 0.2500
Au1 0.0000 0.0000 0.0000
Au2 0.0000 0.0000 0.5000

Output
Energy above the lowest structure with this stoichiometry: 69 meV/atom
Calculated volume: 20.3 Å³/atom
Space group: P6_3/mmc (194)
E_form: -0.27 eV/f.u.

=====

Record 6
Here is an optimized crystal structure of MgB2Os from Alexandria via LeMat-Bulk. Energies are from PBE.

a b c (Å): 3.9063 5.1646 4.9206
angles (deg): 90.00 90.00 90.00
Fractional coordinates of all 8 atoms:
Mg1 0.2500 0.2500 0.1415
Mg2 0.7500 0.7500 0.8585
B1 0.2500 0.0779 0.6570
B2 0.2500 0.4221 0.6570
B3 0.7500 0.5779 0.3430
B4 0.7500 0.9221 0.3430
Os1 0.2500 0.7500 0.3861
Os2 0.7500 0.2500 0.6139

Output
Calculated volume: 12.4 Å³/atom
Space group: Pmmn (59)
E_form: 0.77 eV/f.u.

=====

Record 7
Here is an optimized crystal structure of CuTe2I from Alexandria via LeMat-Bulk. Energies are from PBE.

a b c (Å): 7.4817 7.4817 7.4817
angles (deg): 90.00 90.00 90.00
Fractional coordinates of all 16 atoms:
Cu1 0.0000 0.0000 0.0000
Cu2 0.0000 0.5000 0.5000
Cu3 0.5000 0.0000 0.5000
Cu4 0.5000 0.5000 0.0000
Te1 0.2500 0.2500 0.2500
Te2 0.2500 0.2500 0.7500
Te3 0.2500 0.7500 0.2500
Te4 0.2500 0.7500 0.7500
Te5 0.7500 0.2500 0.2500
Te6 0.7500 0.2500 0.7500
Te7 0.7500 0.7500 0.2500
Te8 0.7500 0.7500 0.7500
I1 0.0000 0.0000 0.5000
I2 0.0000 0.5000 0.0000
I3 0.5000 0.0000 0.0000
I4 0.5000 0.5000 0.5000

Output
Calculated volume: 26.2 Å³/atom
Space group: Fm-3m (225)
Raw formation energy: 0.670 eV per atom

=====

Record 8
Here is an optimized crystal structure of TaOs3 from Alexandria via LeMat-Bulk. Energies are from PBE.

a b c (Å): 2.7829 2.7829 7.8831
angles (deg): 90.00 90.00 90.00
Fractional coordinates of all 4 atoms:
Ta1 0.0000 0.0000 0.0000
Os1 0.0000 0.0000 0.5000
Os2 0.5000 0.5000 0.2653
Os3 0.5000 0.5000 0.7347

Output
Calculated volume: 15.3 Å³/atom
Space group: P4/mmm (123)
E_form: 0.06 eV/f.u.

=====

Record 9
Here is an optimized crystal structure of Te2PdIBr from Alexandria via LeMat-Bulk. Energies are from PBE.

a b c (Å): 5.3445 5.3445 5.4392
angles (deg): 90.00 90.00 90.00
Fractional coordinates of all 5 atoms:
Te1 0.0000 0.5000 0.0000
Te2 0.5000 0.0000 0.0000
Pd1 0.0000 0.0000 0.0000
I1 0.0000 0.0000 0.5000
Br1 0.5000 0.5000 0.5000

Output
Energy above the lowest structure with this stoichiometry: 0 meV/atom
Calculated volume: 31.1 Å³/atom
Space group: P4/mmm (123)
Raw formation energy: 0.271 eV per atom

=====

Record 10
Here is an optimized crystal structure of Hf12Al6Tc from Alexandria via LeMat-Bulk. Energies are from PBE.

a b c (Å): 7.2205 7.2205 7.2205
angles (deg): 89.46 89.46 89.46
Fractional coordinates of all 19 atoms:
Hf1 0.0194 0.9350 0.3063
Hf2 0.0650 0.6937 0.9806
Hf3 0.1300 0.4621 0.3536
Hf4 0.3063 0.0194 0.9350
Hf5 0.3536 0.1300 0.4621
Hf6 0.4621 0.3536 0.1300
Hf7 0.5379 0.6464 0.8700
Hf8 0.6464 0.8700 0.5379
Hf9 0.6937 0.9806 0.0650
Hf10 0.8700 0.5379 0.6464
Hf11 0.9350 0.3063 0.0194
Hf12 0.9806 0.0650 0.6937
Al1 0.2377 0.3874 0.7574
Al2 0.2426 0.7623 0.6126
Al3 0.3874 0.7574 0.2377
Al4 0.6126 0.2426 0.7623
Al5 0.7574 0.2377 0.3874
Al6 0.7623 0.6126 0.2426
Tc1 0.5000 0.5000 0.5000

Output
Calculated volume: 19.8 Å³/atom
Space group: R-3 (148)
E_form: -3.61 eV/f.u.

=====

Record 11
Here is an optimized crystal structure of BaBeVGa2 from Alexandria via LeMat-Bulk. Energies are from PBE.

a b c (Å): 4.9205 4.9205 4.7608
angles (deg): 90.00 90.00 90.00
Fractional coordinates of all 5 atoms:
Ba1 0.0000 0.0000 0.0000
Be1 0.5000 0.5000 0.0000
V1 0.5000 0.5000 0.5000
Ga1 0.0000 0.5000 0.5000
Ga2 0.5000 0.0000 0.5000

Output
Calculated volume: 23.1 Å³/atom
Space group: P4/mmm (123)
E_form: 0.88 eV/f.u.

=====

Record 12
Here is an optimized crystal structure of Bi2BrNO from Alexandria via LeMat-Bulk. Energies are from PBE.

a b c (Å): 4.9468 4.9468 4.0668
angles (deg): 90.00 90.00 90.00
Fractional coordinates of all 5 atoms:
Bi1 0.0000 0.5000 0.0000
Bi2 0.5000 0.0000 0.0000
Br1 0.0000 0.0000 0.5000
N1 0.5000 0.5000 0.0000
O1 0.5000 0.5000 0.5000

Output
Energy above the lowest structure with this stoichiometry: 0 meV/atom
Calculated volume: 19.9 Å³/atom
Space group: P4/mmm (123)
Raw formation energy: 0.662 eV per atom

=====

| no. | N(E_F) (states/eV/cell) | total magnetic moment (μB/atom) | calculated total energy (eV for the cell shown) |
| --- | --- | --- | --- |
| 1 | 0.00 | 0.000 | -44.288 |
| 2 | 16.90 | 0.000 | -60.129 |
| 3 | 2.86 | 0.000 | -11.876 |
| 4 | 5.49 | 0.133 | -31.972 |
| 5 | 2.54 | 0.000 | -17.382 |
| 6 | 1.43 | 0.000 | -50.819 |
| 7 | 11.11 | 0.000 | -36.995 |
| 8 | 3.40 | 0.000 | -45.485 |
| 9 | 7.27 | 0.000 | -13.343 |
| 10 | 18.33 | 0.000 | -155.869 |
| 11 | 3.35 | 0.240 | -19.937 |
| 12 | 1.88 | 0.000 | -19.410 |